First-principles (PBE) data for a relaxed structure of Si3PW, as listed in the Alexandria database.

The structure belongs to space group Pm-3m (No. 221); the cell edges are 4.395, 4.395 and 4.395 Å and the angles 90.00°, 90.00° and 90.00°. The inequivalent atoms are Si at (0.000, 0.000, 0.500), P at (0.000, 0.000, 0.000) and W at (0.500, 0.500, 0.500).

The total magnetization comes out at 1.230 μB per cell. The value obtained for the energy relative to the elements, uncorrected is 1.3213 eV per atom. The calculation puts the uncorrected energy at -5.605 eV per atom. The energy above the most stable polymorph in this dataset comes out at 296.0 meV/atom.